[1]
Computed, not measured: a geometry-optimized La5Tb2Tm6 structure at the PBE-GGA level of DFT.

Unit cell a=3.612 b=11.634 c=20.674 alpha=90.00 beta=90.00 gamma=90.00
Fractional coordinates of all 26 atoms:
La  0.500  0.700  0.548
Tm  0.000  0.937  0.918
Tm  0.000  0.078  0.369
Tb  0.000  0.325  0.290
La  0.500  0.200  0.952
La  0.500  0.077  0.229
Tm  0.500  0.823  0.360
La  0.500  0.000  0.500
Tm  0.000  0.437  0.582
Tm  0.000  0.922  0.631
Tm  0.500  0.177  0.640
La  0.500  0.577  0.271
Tm  0.500  0.677  0.860
La  0.500  0.500  0.000
Tb  0.000  0.825  0.210
Tm  0.000  0.422  0.869
Tb  0.000  0.175  0.790
La  0.500  0.423  0.729
La  0.500  0.923  0.771
Tm  0.000  0.578  0.131
La  0.500  0.800  0.048
La  0.500  0.300  0.452
Tb  0.000  0.675  0.710
Tm  0.500  0.323  0.140
Tm  0.000  0.563  0.418
Tm  0.000  0.063  0.082

[2]
Computed, not measured: a geometry-optimized LaTb12Tm6 structure at the PBE-GGA level of DFT.

Relative energy among the computed polymorphs: 269 meV/atom

Unit cell a=9.269 b=9.269 c=9.269 alpha=107.49 beta=107.49 gamma=107.49
Fractional coordinates of all 19 atoms:
Tb  0.111  0.500  0.889
Tb  0.111  0.889  0.500
Tb  0.374  0.374  0.155
Tm  0.309  0.309  0.733
La  0.000  0.000  0.000
Tb  0.155  0.374  0.374
Tb  0.500  0.111  0.889
Tb  0.626  0.626  0.845
Tm  0.691  0.267  0.691
Tb  0.889  0.111  0.500
Tb  0.626  0.845  0.626
Tb  0.374  0.155  0.374
Tb  0.845  0.626  0.626
Tb  0.889  0.500  0.111
Tm  0.733  0.309  0.309
Tb  0.500  0.889  0.111
Tm  0.691  0.691  0.267
Tm  0.267  0.691  0.691
Tm  0.309  0.733  0.309

Calculated volume values (in Å³/f.u.) by entry order: 434.3, 654.0.
E_form values (in eV/atom) by entry order: 0.0990, 0.4208.